Record 1
# PmHoTmTl PBE optimized geometry
data_PmHoTmTl
_chemical_formula_sum 'Pm1 Ho1 Tm1 Tl1'
_cell_length_a 4.8245
_cell_length_b 4.8762
_cell_length_c 4.8952
_cell_angle_alpha 90.00
_cell_angle_beta 90.00
_cell_angle_gamma 90.00
_space_group_name_H-M_alt 'P m m m'
_space_group_IT_number 47
_space_group_name_Hall '-P 2 2'
loop_
_atom_site_label
_atom_site_fract_x
_atom_site_fract_y
_atom_site_fract_z
Pm1 0.0000 0.0000 0.0000
Ho1 0.5000 0.5000 0.0000
Tm1 0.5000 0.0000 0.5000
Tl1 0.0000 0.5000 0.5000
# Formation energy   -0.18 eV per atom
# M_tot   0.15 μB/atom
# D(E_F)   1.326 states/eV/atom
# Energy above the most stable polymorph in this dataset   0.0 meV per atom

Record 2
# BWS3 PBE optimized geometry
data_BWS3
_chemical_formula_sum 'B1 W1 S3'
_cell_length_a 4.0846
_cell_length_b 4.0846
_cell_length_c 4.0846
_cell_angle_alpha 90.00
_cell_angle_beta 90.00
_cell_angle_gamma 90.00
_space_group_name_H-M_alt 'P m -3 m'
_space_group_IT_number 221
_space_group_name_Hall '-P 4 2 3'
loop_
_atom_site_label
_atom_site_fract_x
_atom_site_fract_y
_atom_site_fract_z
B1 0.0000 0.0000 0.0000
W1 0.5000 0.5000 0.5000
S1 0.0000 0.0000 0.5000
# M_tot   0.29 μB/atom
# D(E_F)   0.518 states/eV/atom
# Energy above the most stable polymorph in this dataset   30.9 meV per atom

Record 3
# Sr2TaTl PBE optimized geometry
data_Sr2TaTl
_chemical_formula_sum 'Sr4 Ta2 Tl2'
_cell_length_a 4.9719
_cell_length_b 4.9719
_cell_length_c 9.8095
_cell_angle_alpha 90.00
_cell_angle_beta 90.00
_cell_angle_gamma 90.00
_space_group_name_H-M_alt 'I -4 m 2'
_space_group_IT_number 119
_space_group_name_Hall 'I -4 -2'
loop_
_atom_site_label
_atom_site_fract_x
_atom_site_fract_y
_atom_site_fract_z
Sr1 0.0000 0.0000 0.0000
Sr2 0.0000 0.5000 0.2500
Ta1 0.0000 0.5000 0.7500
Tl1 0.0000 0.0000 0.5000
# Formation energy   0.70 eV per atom
# M_tot   0.55 μB/atom
# D(E_F)   0.851 states/eV/atom
# Energy above the most stable polymorph in this dataset   175.6 meV per atom

Record 4
# LaP3I PBE optimized geometry
data_LaP3I
_chemical_formula_sum 'La1 P3 I1'
_cell_length_a 5.0847
_cell_length_b 5.0847
_cell_length_c 5.0847
_cell_angle_alpha 90.00
_cell_angle_beta 90.00
_cell_angle_gamma 90.00
_space_group_name_H-M_alt 'P m -3 m'
_space_group_IT_number 221
_space_group_name_Hall '-P 4 2 3'
loop_
_atom_site_label
_atom_site_fract_x
_atom_site_fract_y
_atom_site_fract_z
La1 0.0000 0.0000 0.0000
P1 0.0000 0.5000 0.5000
I1 0.5000 0.5000 0.5000
# M_tot   0.00 μB/atom
# D(E_F)   0.664 states/eV/atom
# Energy above the most stable polymorph in this dataset   0.0 meV per atom

Record 5
# RbCdGaO3 PBE optimized geometry
data_RbCdGaO3
_chemical_formula_sum 'Rb4 Cd4 Ga4 O12'
_cell_length_a 5.8243
_cell_length_b 11.1872
_cell_length_c 5.6605
_cell_angle_alpha 90.00
_cell_angle_beta 90.00
_cell_angle_gamma 90.00
_space_group_name_H-M_alt 'C m c m'
_space_group_IT_number 63
_space_group_name_Hall '-C 2c 2'
loop_
_atom_site_label
_atom_site_fract_x
_atom_site_fract_y
_atom_site_fract_z
Rb1 0.0000 0.2490 0.2500
Cd1 0.0000 0.0804 0.7500
Ga1 0.0000 0.4401 0.7500
O1 0.0000 0.2757 0.7500
O2 0.2221 0.5000 0.0000
# Energy   -4.757 eV per atom
# M_tot   0.00 μB/atom

Record 6
# Rb3NaNp3Te8 PBE optimized geometry
data_Rb3NaNp3Te8
_chemical_formula_sum 'Rb6 Na2 Np6 Te16'
_cell_length_a 15.7041
_cell_length_b 9.0650
_cell_length_c 10.0165
_cell_angle_alpha 90.00
_cell_angle_beta 121.51
_cell_angle_gamma 90.00
_space_group_name_H-M_alt 'C 1 2/m 1'
_space_group_IT_number 12
_space_group_name_Hall '-C 2y'
loop_
_atom_site_label
_atom_site_fract_x
_atom_site_fract_y
_atom_site_fract_z
Rb1 0.0000 0.0000 0.0000
Rb2 0.2500 0.2500 0.0000
Na1 0.0000 0.0000 0.5000
Np1 0.0000 0.5000 0.5000
Np2 0.2500 0.2500 0.5000
Te1 0.0231 0.2681 0.3026
Te2 0.2330 0.5000 0.6996
Te3 0.2440 0.0000 0.6971
# Energy   -5.369 eV per atom
# M_tot   0.60 μB/atom
# D(E_F)   1.954 states/eV/atom

Record 7
# SrLiH8Pt2 PBE optimized geometry
data_SrLiH8Pt2
_chemical_formula_sum 'Sr1 Li1 H8 Pt2'
_cell_length_a 4.7042
_cell_length_b 4.7042
_cell_length_c 6.0812
_cell_angle_alpha 90.00
_cell_angle_beta 90.00
_cell_angle_gamma 120.00
_space_group_name_H-M_alt 'P -3'
_space_group_IT_number 147
_space_group_name_Hall '-P 3'
loop_
_atom_site_label
_atom_site_fract_x
_atom_site_fract_y
_atom_site_fract_z
Sr1 0.0000 0.0000 0.0000
Li1 0.0000 0.0000 0.5000
H1 0.0494 0.6668 0.3421
H2 0.3333 0.6667 0.9086
Pt1 0.3333 0.6667 0.6420
# Energy   -3.690 eV per atom
# M_tot   0.00 μB/atom
# D(E_F)   0.144 states/eV/atom

Record 8
# CrCd2P PBE optimized geometry
data_CrCd2P
_chemical_formula_sum 'Cr3 Cd6 P3'
_cell_length_a 3.1175
_cell_length_b 3.1175
_cell_length_c 27.7666
_cell_angle_alpha 90.00
_cell_angle_beta 90.00
_cell_angle_gamma 120.00
_space_group_name_H-M_alt 'R -3 m'
_space_group_IT_number 166
_space_group_name_Hall '-R 3 2"'
loop_
_atom_site_label
_atom_site_fract_x
_atom_site_fract_y
_atom_site_fract_z
Cr1 0.0000 0.0000 0.0000
Cd1 0.0000 0.0000 0.2504
P1 0.0000 0.0000 0.5000
# Formation energy   0.53 eV per atom
# M_tot   1.05 μB/atom
# D(E_F)   0.533 states/eV/atom

Record 9
# LiSi2Br8 PBE optimized geometry
data_LiSi2Br8
_chemical_formula_sum 'Li2 Si4 Br16'
_cell_length_a 13.4155
_cell_length_b 9.6046
_cell_length_c 6.6662
_cell_angle_alpha 90.00
_cell_angle_beta 93.00
_cell_angle_gamma 90.00
_space_group_name_H-M_alt 'C 1 2/m 1'
_space_group_IT_number 12
_space_group_name_Hall '-C 2y'
loop_
_atom_site_label
_atom_site_fract_x
_atom_site_fract_y
_atom_site_fract_z
Li1 0.0000 0.0000 0.0000
Si1 0.1856 0.0000 0.6781
Br1 0.0987 0.1891 0.8006
Br2 0.1544 0.5000 0.1962
Br3 0.1825 0.0000 0.3348
# Energy   -3.116 eV per atom
# M_tot   0.00 μB/atom
# D(E_F)   0.326 states/eV/atom

Record 10
# EuAgO2 PBE optimized geometry
data_EuAgO2
_chemical_formula_sum 'Eu4 Ag4 O8'
_cell_length_a 6.7784
_cell_length_b 8.6123
_cell_length_c 5.4931
_cell_angle_alpha 90.00
_cell_angle_beta 127.94
_cell_angle_gamma 90.00
_space_group_name_H-M_alt 'C 1 2/m 1'
_space_group_IT_number 12
_space_group_name_Hall '-C 2y'
loop_
_atom_site_label
_atom_site_fract_x
_atom_site_fract_y
_atom_site_fract_z
Eu1 0.2494 0.0000 0.4993
Ag1 0.2500 0.2500 0.0000
O1 0.0000 0.3056 0.5000
O2 0.1930 0.0000 0.8866
# Energy   -7.345 eV per atom
# M_tot   1.62 μB/atom
# D(E_F)   2.801 states/eV/atom

Record 11
# AgP2Se PBE optimized geometry
data_AgP2Se
_chemical_formula_sum 'Ag2 P4 Se2'
_cell_length_a 4.6239
_cell_length_b 4.6239
_cell_length_c 6.5592
_cell_angle_alpha 90.00
_cell_angle_beta 90.00
_cell_angle_gamma 90.00
_space_group_name_H-M_alt 'I -4 m 2'
_space_group_IT_number 119
_space_group_name_Hall 'I -4 -2'
loop_
_atom_site_label
_atom_site_fract_x
_atom_site_fract_y
_atom_site_fract_z
Ag1 0.0000 0.0000 0.0000
P1 0.0000 0.0000 0.5000
P2 0.0000 0.5000 0.7500
Se1 0.0000 0.5000 0.2500
# Energy   -3.631 eV per atom
# M_tot   0.00 μB/atom
# D(E_F)   0.527 states/eV/atom

Record 12
# NaGaPt2 PBE optimized geometry
data_NaGaPt2
_chemical_formula_sum 'Na1 Ga1 Pt2'
_cell_length_a 4.1250
_cell_length_b 4.1250
_cell_length_c 3.6985
_cell_angle_alpha 90.00
_cell_angle_beta 90.00
_cell_angle_gamma 90.00
_space_group_name_H-M_alt 'P 4/m m m'
_space_group_IT_number 123
_space_group_name_Hall '-P 4 2'
loop_
_atom_site_label
_atom_site_fract_x
_atom_site_fract_y
_atom_site_fract_z
Na1 0.0000 0.0000 0.0000
Ga1 0.5000 0.5000 0.0000
Pt1 0.0000 0.5000 0.5000
# Formation energy   -0.36 eV per atom
# M_tot   0.00 μB/atom
# D(E_F)   0.334 states/eV/atom

Record 13
# TlZn2Ru PBE optimized geometry
data_TlZn2Ru
_chemical_formula_sum 'Tl1 Zn2 Ru1'
_cell_length_a 3.4095
_cell_length_b 3.4095
_cell_length_c 5.8460
_cell_angle_alpha 90.00
_cell_angle_beta 90.00
_cell_angle_gamma 90.00
_space_group_name_H-M_alt 'P 4/m m m'
_space_group_IT_number 123
_space_group_name_Hall '-P 4 2'
loop_
_atom_site_label
_atom_site_fract_x
_atom_site_fract_y
_atom_site_fract_z
Tl1 0.0000 0.0000 0.0000
Zn1 0.5000 0.5000 0.2928
Ru1 0.0000 0.0000 0.5000
# Formation energy   0.19 eV per atom
# M_tot   0.00 μB/atom
# D(E_F)   0.363 states/eV/atom
# Energy above the most stable polymorph in this dataset   0.0 meV per atom

Record 14
# KAgCl2F8 PBE optimized geometry
data_KAgCl2F8
_chemical_formula_sum 'K1 Ag1 Cl2 F8'
_cell_length_a 6.0407
_cell_length_b 6.0407
_cell_length_c 6.8885
_cell_angle_alpha 90.00
_cell_angle_beta 90.00
_cell_angle_gamma 120.00
_space_group_name_H-M_alt 'P -3 m 1'
_space_group_IT_number 164
_space_group_name_Hall '-P 3 2"'
loop_
_atom_site_label
_atom_site_fract_x
_atom_site_fract_y
_atom_site_fract_z
K1 0.0000 0.0000 0.0000
Ag1 0.0000 0.0000 0.5000
Cl1 0.3333 0.6667 0.9374
F1 0.1483 0.2966 0.6764
F2 0.3333 0.6667 0.1764
# Energy   -2.830 eV per atom
# M_tot   0.00 μB/atom

In the order shown, the computed mass density values come out to 9.9; 7.1; 7.7; 4.5; 5.7; 5.5; 7.0; 6.6; 2.7; 7.7; 5.9; 12.7; 10.7; 2.8 g/cm³.
In the order shown, the computed V values come out to 28.79; 13.63; 30.31; 26.29; 15.37; 40.52; 9.71; 19.48; 38.99; 15.81; 17.53; 15.73; 16.99; 18.14 Å³/atom.